No. 1
Material: ZrCd3C
Method: DFT, PBE
State: relaxed

a = 5.7577 Å, b = 5.7577 Å, c = 5.7577 Å
α = 90.00°, β = 90.00°, γ = 90.00°
Last column: magnetic moment on the atom in μB.
Fractional positions:
Cd 0.5000 0.0000 0.0000  -0.01
Cd 0.0000 0.5000 0.0000  -0.01
Cd 0.0000 0.0000 0.5000  0.01
Zr 0.0000 0.0000 0.0000  -0.42
C 0.5000 0.5000 0.5000  0.99

Summary:
Symmetry ... Pm-3m (221)
DOS at the Fermi energy ... 5.76 states/eV per cell
Energy relative to the elements ... 2.151 eV per atom
Excess energy over the best structure of this formula in the dataset ... 1218.6 meV per atom

=====

No. 2
Material: Si2NiAg
Method: DFT, PBE
State: relaxed

a = 4.0955 Å, b = 3.0367 Å, c = 4.9305 Å
α = 97.07°, β = 90.00°, γ = 90.00°
Fractional positions:
Si 0.0000 0.4568 0.5554
Si 0.0000 0.0432 0.9446
Ag 0.5000 0.2500 0.2500
Ni 0.5000 0.7500 0.7500

Summary:
ΔE_f (raw) ... 170 meV per atom
Symmetry ... P2/m (10)
DOS at the Fermi energy ... 1.32 states/eV per cell
Excess energy over the best structure of this formula in the dataset ... 185.3 meV per atom

=====

No. 3
Material: TiAs2NO
Method: DFT, PBE
State: relaxed

a = 4.3285 Å, b = 3.9882 Å, c = 4.3285 Å
α = 90.00°, β = 90.00°, γ = 90.00°
Fractional positions:
As 0.5000 0.0000 0.0000
As 0.0000 0.0000 0.5000
N 0.0000 0.0000 0.0000
Ti 0.0000 0.5000 0.0000
O 0.5000 0.5000 0.5000

Summary:
ΔE_f (raw) ... 370 meV per atom
Symmetry ... P4/mmm (123)
DOS at the Fermi energy ... 3.39 states/eV per cell

=====

No. 4
Material: BeRe2AgMo
Method: DFT, PBE
State: relaxed

a = 4.6585 Å, b = 5.0342 Å, c = 4.6585 Å
α = 90.00°, β = 90.00°, γ = 90.00°
Last column: magnetic moment on the atom in μB.
Fractional positions:
Be 0.5000 0.5000 0.5000  -0.04
Re 0.5000 0.0000 0.0000  0.59
Re 0.0000 0.0000 0.5000  0.57
Mo 0.0000 0.0000 0.0000  -0.19
Ag 0.0000 0.5000 0.0000  -0.01

Summary:
Symmetry ... P4/mmm (123)
DOS at the Fermi energy ... 4.90 states/eV per cell
Energy relative to the elements ... 2.363 eV per atom

=====

No. 5
Material: TiRhSe2
Method: DFT, PBE
State: relaxed

a = 5.6322 Å, b = 5.6322 Å, c = 6.9727 Å
α = 66.18°, β = 66.18°, γ = 90.00°
Fractional positions:
Se 0.3750 0.3726 0.7500
Se 0.1226 0.6250 0.2500
Se 0.8750 0.8774 0.7500
Se 0.6274 0.1250 0.2500
Rh 0.0000 0.0000 0.0000
Rh 0.7500 0.2500 0.5000
Ti 0.5000 0.5000 0.0000
Ti 0.2500 0.7500 0.5000

Summary:
ΔE_f (raw) ... -453 meV per atom
Symmetry ... I-42d (122)
DOS at the Fermi energy ... 8.06 states/eV per cell
Excess energy over the best structure of this formula in the dataset ... 128.1 meV per atom

=====

No. 6
Material: CuHgCl2
Method: DFT, PBE
State: relaxed

a = 4.2767 Å, b = 4.2767 Å, c = 8.8446 Å
α = 90.00°, β = 90.00°, γ = 131.47°
Fractional positions:
Cl 0.0000 0.0000 0.9345
Cl 0.5000 0.5000 0.3419
Hg 0.5000 0.5000 0.7218
Cu 0.0000 0.0000 0.5018

Summary:
ΔE_f (raw) ... -263 meV per atom
Symmetry ... Cmm2 (35)
DOS at the Fermi energy ... 1.19 states/eV per cell
Excess energy over the best structure of this formula in the dataset ... 107.9 meV per atom

=====

No. 7
Material: Nb6Re5W
Method: DFT, PBE
State: relaxed

a = 4.5430 Å, b = 6.4203 Å, c = 7.1874 Å
α = 90.00°, β = 108.39°, γ = 90.00°
Fractional positions:
Nb 0.8331 0.7498 0.6660
Nb 0.1669 0.7498 0.3340
Nb 0.5000 0.7495 0.0000
Nb 0.8331 0.2502 0.6660
Nb 0.1669 0.2502 0.3340
Nb 0.5000 0.2505 0.0000
W 0.0000 0.0000 0.0000
Re 0.3328 0.5000 0.6654
Re 0.6672 0.5000 0.3346
Re 0.3330 0.0000 0.6662
Re 0.0000 0.5000 0.0000
Re 0.6670 0.0000 0.3338

Summary:
Symmetry ... Cmmm (65)
DOS at the Fermi energy ... 5.81 states/eV per cell
Energy relative to the elements ... -0.245 eV per atom

=====

No. 8
Material: Sr4Cd5Pd2
Method: DFT, PBE
State: relaxed

a = 4.1038 Å, b = 7.8164 Å, c = 10.1108 Å
α = 94.04°, β = 90.00°, γ = 90.00°
Fractional positions:
Cd 0.0000 0.5000 0.0000
Cd 0.0000 0.1911 0.1628
Cd 0.0000 0.4407 0.6897
Cd 0.0000 0.8089 0.8372
Cd 0.0000 0.5593 0.3103
Sr 0.5000 0.2344 0.4448
Sr 0.5000 0.8277 0.1402
Sr 0.5000 0.7656 0.5552
Sr 0.5000 0.1723 0.8598
Pd 0.0000 0.9328 0.3600
Pd 0.0000 0.0672 0.6400

Summary:
Symmetry ... P2/m (10)
DOS at the Fermi energy ... 5.67 states/eV per cell
Energy relative to the elements ... -0.407 eV per atom

=====

No. 9
Material: Pr4CoCu3
Method: DFT, PBE
State: relaxed

a = 3.9516 Å, b = 4.4726 Å, c = 10.7108 Å
α = 90.00°, β = 90.00°, γ = 90.00°
Fractional positions:
Pr 0.0000 0.0000 0.1383
Pr 0.5000 0.0000 0.6423
Pr 0.0000 0.5000 0.8706
Pr 0.5000 0.5000 0.3471
Cu 0.0000 0.5000 0.5617
Cu 0.0000 0.0000 0.4326
Cu 0.5000 0.0000 0.9364
Co 0.5000 0.5000 0.0712

Summary:
Symmetry ... Pmm2 (25)
DOS at the Fermi energy ... 8.10 states/eV per cell
Energy relative to the elements ... -0.125 eV per atom

=====

No. 10
Material: HfVInIr
Method: DFT, PBE
State: relaxed

a = 4.6237 Å, b = 4.6237 Å, c = 4.6237 Å
α = 60.00°, β = 60.00°, γ = 60.00°
Last column: magnetic moment on the atom in μB.
Fractional positions:
Hf 0.7500 0.7500 0.7500  0.18
V 0.5000 0.5000 0.5000  2.37
In 0.2500 0.2500 0.2500  -0.02
Ir 0.0000 0.0000 0.0000  0.02

Summary:
Symmetry ... F-43m (216)
DOS at the Fermi energy ... 0.32 states/eV per cell
Energy relative to the elements ... -0.384 eV per atom

=====

No. 11
Material: TaBeAg2
Method: DFT, PBE
State: relaxed

a = 2.8578 Å, b = 2.8578 Å, c = 7.4519 Å
α = 90.00°, β = 90.00°, γ = 90.00°
Fractional positions:
Ag 0.0000 0.0000 0.0458
Ag 0.0000 0.0000 0.4542
Be 0.5000 0.5000 0.2500
Ta 0.5000 0.5000 0.7500

Summary:
Symmetry ... P4/mmm (123)
DOS at the Fermi energy ... 2.51 states/eV per cell
Energy relative to the elements ... 0.269 eV per atom

=====

No. 12
Material: Er2ZnTe
Method: DFT, PBE
State: relaxed

a = 3.7874 Å, b = 3.7874 Å, c = 6.8041 Å
α = 90.00°, β = 90.00°, γ = 90.00°
Fractional positions:
Zn 0.5000 0.5000 0.0000
Te 0.5000 0.5000 0.5000
Er 0.0000 0.0000 0.2408
Er 0.0000 0.0000 0.7592

Summary:
ΔE_f (raw) ... -642 meV per atom
Symmetry ... P4/mmm (123)
DOS at the Fermi energy ... 3.39 states/eV per cell
Excess energy over the best structure of this formula in the dataset ... 153.8 meV per atom

=====

No. 13
Material: HoErThSc3
Method: DFT, PBE
State: relaxed

a = 3.4348 Å, b = 10.1141 Å, c = 10.0998 Å
α = 108.26°, β = 90.00°, γ = 90.00°
Fractional positions:
Er 0.7500 0.8722 0.3770
Er 0.2500 0.1278 0.6230
Ho 0.2500 0.1310 0.2876
Ho 0.7500 0.8690 0.7124
Sc 0.7500 0.3817 0.5424
Sc 0.2500 0.6173 0.7907
Sc 0.2500 0.1268 0.9627
Sc 0.7500 0.8732 0.0373
Sc 0.7500 0.3827 0.2093
Sc 0.2500 0.6183 0.4576
Th 0.2500 0.6285 0.1254
Th 0.7500 0.3715 0.8746

Summary:
Symmetry ... P2_1/m (11)
DOS at the Fermi energy ... 17.07 states/eV per cell
Energy relative to the elements ... 0.048 eV per atom

=====

No. 14
Material: LaPm4Sm2Ho2
Method: DFT, PBE
State: relaxed

a = 5.1343 Å, b = 8.1211 Å, c = 8.1101 Å
α = 107.49°, β = 90.00°, γ = 108.43°
Fractional positions:
Pm 0.4443 0.8886 0.6666
Pm 0.5557 0.1114 0.3334
Pm 0.7776 0.5553 0.6690
Pm 0.2224 0.4447 0.3310
Ho 0.6687 0.3374 0.9988
Ho 0.3313 0.6626 0.0012
Sm 0.1115 0.2230 0.6661
Sm 0.8885 0.7770 0.3339
La 0.0000 0.0000 0.0000

Summary:
Symmetry ... C2/m (12)
DOS at the Fermi energy ... 14.01 states/eV per cell
Energy relative to the elements ... 0.020 eV per atom

=====

No. 15
Material: RbZnTc2Os
Method: DFT, PBE
State: relaxed

a = 4.8617 Å, b = 4.8617 Å, c = 4.7250 Å
α = 90.00°, β = 90.00°, γ = 90.00°
Last column: magnetic moment on the atom in μB.
Fractional positions:
Rb 0.5000 0.5000 0.5000  0.04
Tc 0.0000 0.5000 0.0000  2.15
Tc 0.5000 0.0000 0.0000  2.15
Zn 0.0000 0.0000 0.0000  0.03
Os 0.0000 0.0000 0.5000  0.53

Summary:
Symmetry ... P4/mmm (123)
DOS at the Fermi energy ... 7.40 states/eV per cell
Energy relative to the elements ... 2.102 eV per atom

=====

No. 16
Material: BaTcHg
Method: DFT, PBE
State: relaxed

a = 6.3409 Å, b = 6.3410 Å, c = 3.7518 Å
α = 72.79°, β = 72.79°, γ = 34.42°
Last column: magnetic moment on the atom in μB.
Fractional positions:
Hg 0.7148 0.7148 0.2852  0.00
Tc 0.2861 0.2861 0.7139  0.35
Ba 0.9991 0.9991 0.0009  -0.01

Summary:
Symmetry ... I4mm (107)
DOS at the Fermi energy ... 4.05 states/eV per cell
Energy relative to the elements ... 0.620 eV per atom
Excess energy over the best structure of this formula in the dataset ... 44.8 meV per atom